First-principles (PBE-GGA) data for an optimized crystal structure of CsAg2Sb2, as listed in Alexandria via LeMat-Bulk.

Cell: 6.8391 6.8391 6.8391 Å, 136.55 136.55 63.13°
Element x y z (fractional)
Cs (0.0000, 0.0000, 0.0000)
Ag (0.2500, 0.7500, 0.5000)
Ag (0.7500, 0.2500, 0.5000)
Sb (0.3731, 0.3731, 0.0000)
Sb (0.6269, 0.6269, 0.0000)

- space group = I4/mmm, No. 139
- relative energy among the computed polymorphs (kcal/mol of atoms) = 0.00



First-principles (PBE-GGA) data for an optimized crystal structure of CdHg2, as listed in Alexandria via LeMat-Bulk.

Cell: 6.6253 4.9085 9.3473 Å, 90.00 90.00 90.00°
Element x y z (fractional)
Cd (0.2093, 0.2500, 0.1610)
Cd (0.2907, 0.7500, 0.6610)
Cd (0.7093, 0.2500, 0.3390)
Cd (0.7907, 0.7500, 0.8390)
Hg (0.0847, 0.2500, 0.8334)
Hg (0.1516, 0.2500, 0.4794)
Hg (0.3484, 0.7500, 0.9794)
Hg (0.4153, 0.7500, 0.3334)
Hg (0.5847, 0.2500, 0.6666)
Hg (0.6516, 0.2500, 0.0207)
Hg (0.8484, 0.7500, 0.5206)
Hg (0.9153, 0.7500, 0.1666)

- space group = Pnma, No. 62
- relative energy among the computed polymorphs (kcal/mol of atoms) = 0.06



First-principles (PBE-GGA) data for an optimized crystal structure of Nd6Dy2Er3In, as listed in Alexandria via LeMat-Bulk.

Cell: 6.1976 6.1976 11.7902 Å, 95.06 95.06 120.12°
Element x y z (fractional)
Nd (0.0828, 0.4103, 0.7489)
Nd (0.2443, 0.2443, 0.2500)
Nd (0.4103, 0.0828, 0.7489)
Nd (0.5897, 0.9172, 0.2511)
Nd (0.7557, 0.7557, 0.7500)
Nd (0.9172, 0.5897, 0.2511)
Dy (0.3336, 0.6664, 0.5000)
Dy (0.6664, 0.3336, 0.5000)
Er (0.1675, 0.8325, 0.0000)
Er (0.5000, 0.5000, 0.0000)
Er (0.8325, 0.1675, 0.0000)
In (0.0000, 0.0000, 0.5000)

- space group = C2/m, No. 12



First-principles (PBE-GGA) data for an optimized crystal structure of Ca2Pb, as listed in Alexandria via LeMat-Bulk.

Cell: 5.3909 5.3909 5.3909 Å, 60.00 60.00 60.00°
Element x y z (fractional)
Ca (0.2500, 0.2500, 0.2500)
Ca (0.7500, 0.7500, 0.7500)
Pb (0.0000, 0.0000, 0.0000)

- space group = Fm-3m, No. 225



First-principles (PBE-GGA) data for an optimized crystal structure of KTi3Ga, as listed in Alexandria via LeMat-Bulk.

Cell: 5.0620 5.0620 5.0620 Å, 90.00 90.00 90.00°
Element x y z (fractional)
K (0.0000, 0.0000, 0.0000)
Ti (0.0000, 0.5000, 0.5000)
Ti (0.5000, 0.0000, 0.5000)
Ti (0.5000, 0.5000, 0.0000)
Ga (0.5000, 0.5000, 0.5000)

- space group = Pm-3m, No. 221
- relative energy among the computed polymorphs (kcal/mol of atoms) = 0.00



First-principles (PBE-GGA) data for an optimized crystal structure of YNi2Sb, as listed in Alexandria via LeMat-Bulk.

Cell: 5.6621 5.6621 5.6621 Å, 43.03 43.03 43.03°
Element x y z (fractional)
Y (0.0000, 0.0000, 0.0000)
Ni (0.4685, 0.4685, 0.4685)
Ni (0.7847, 0.7847, 0.7847)
Sb (0.1992, 0.1992, 0.1992)

- space group = R3m, No. 160



First-principles (PBE-GGA) data for an optimized crystal structure of DyRh3, as listed in Alexandria via LeMat-Bulk.

Cell: 4.9352 4.9352 4.9352 Å, 131.16 131.16 71.56°
Element x y z (fractional)
Dy (0.0000, 0.0000, 0.0000)
Rh (0.2500, 0.7500, 0.5000)
Rh (0.5000, 0.5000, 0.0000)
Rh (0.7500, 0.2500, 0.5000)

- space group = I4/mmm, No. 139



First-principles (PBE-GGA) data for an optimized crystal structure of Ac2Sn4IrPd3, as listed in Alexandria via LeMat-Bulk.

Cell: 4.6719 4.6719 10.8977 Å, 90.00 90.00 90.00°
Element x y z (fractional)
Ac (0.0000, 0.5000, 0.2412)
Ac (0.5000, 0.0000, 0.7588)
Sn (0.0000, 0.0000, 0.5000)
Sn (0.0000, 0.5000, 0.8778)
Sn (0.5000, 0.0000, 0.1222)
Sn (0.5000, 0.5000, 0.5000)
Ir (0.5000, 0.5000, 0.0000)
Pd (0.0000, 0.0000, 0.0000)
Pd (0.0000, 0.5000, 0.6336)
Pd (0.5000, 0.0000, 0.3664)

- space group = P-4m2, No. 115



First-principles (PBE-GGA) data for an optimized crystal structure of Tb3TlZn2, as listed in Alexandria via LeMat-Bulk.

Cell: 3.6055 3.6055 11.3300 Å, 90.00 90.00 90.00°
Element x y z (fractional)
Tb (0.0000, 0.0000, 0.0000)
Tb (0.0000, 0.0000, 0.3122)
Tb (0.0000, 0.0000, 0.6878)
Tl (0.5000, 0.5000, 0.5000)
Zn (0.5000, 0.5000, 0.1532)
Zn (0.5000, 0.5000, 0.8468)

- space group = P4/mmm, No. 123



First-principles (PBE-GGA) data for an optimized crystal structure of LiAcGdHo, as listed in Alexandria via LeMat-Bulk.

Cell: 5.7048 5.7048 5.7048 Å, 60.00 60.00 60.00°
Element x y z (fractional)
Li (0.0000, 0.0000, 0.0000)
Ac (0.5000, 0.5000, 0.5000)
Gd (0.7500, 0.7500, 0.7500)
Ho (0.2500, 0.2500, 0.2500)

- space group = F-43m, No. 216



First-principles (PBE-GGA) data for an optimized crystal structure of PPtO2F, as listed in Alexandria via LeMat-Bulk.

Cell: 3.7660 3.7660 5.1777 Å, 90.00 90.00 90.00°
Element x y z (fractional)
P (0.0000, 0.0000, 0.0000)
Pt (0.0000, 0.0000, 0.5000)
O (0.0000, 0.5000, 0.5000)
O (0.5000, 0.0000, 0.5000)
F (0.5000, 0.5000, 0.0000)

- space group = P4/mmm, No. 123



First-principles (PBE-GGA) data for an optimized crystal structure of LiAc2Pd4, as listed in Alexandria via LeMat-Bulk.

Cell: 6.2237 6.2167 6.2031 Å, 60.15 60.03 59.82°
Element x y z (fractional)
Li (0.0000, 0.0000, 0.0000)
Ac (0.2500, 0.2500, 0.2500)
Ac (0.7500, 0.7500, 0.7500)
Pd (0.2792, 0.7208, 0.2792)
Pd (0.2800, 0.7200, 0.7200)
Pd (0.7200, 0.2800, 0.2800)
Pd (0.7208, 0.2792, 0.7208)

- space group = Fmmm, No. 69
- relative energy among the computed polymorphs (kcal/mol of atoms) = 0.00



Calculated electronic total energy in order - -3.124, -0.487, -4.555, -3.087, -4.645, -5.991, -7.086, -5.614, -3.481, -5.917, -4.530, -4.995 eV per atom